The following is a GGA-PBE calculation of a relaxed Hf2GaFe crystal, from Alexandria via LeMat-Bulk.

Lattice parameters (Å, degrees): 3.2411 3.2411 6.5394 90.00 90.00 90.00
Closest atoms and distances in Å follow each position.
Fractional coordinates of all 4 atoms:
Hf1 0.0000 0.0000 0.2313  4 Fe 2.75, 4 Ga 2.89, 1 Hf 3.03
Hf2 0.0000 0.0000 0.7687  4 Fe 2.75, 4 Ga 2.89, 1 Hf 3.03
Ga1 0.5000 0.5000 0.5000  8 Hf 2.89
Fe1 0.5000 0.5000 0.0000  8 Hf 2.75

Summary:
Its space-group type is No. 123. Its crystal system is tetragonal. The final energy comes out at -0.301 Ha/atom.